# 1
Below is a relaxed EuYCuNi crystal, with properties calculated at the PBE level.

Output
The volume is 339 Å³/cell. The theoretical density is 7.1 Mg/m³. Its formation energy is -0.14 eV/atom.

Unit cell a=6.976 b=6.976 c=6.976 alpha=90.00 beta=90.00 gamma=90.00
Space group F-43m (No. 216)
Unique sites:
Eu  0.000  0.000  0.000 [4 per cell]
Y  0.000  0.000  0.500 [4 per cell]
Cu  0.250  0.250  0.250 [4 per cell]
Ni  0.250  0.250  0.750 [4 per cell]

=====

# 2
Below is a relaxed Eu2Cu2O5 crystal, with properties calculated at the PBE level.

Output
The volume is 463 Å³/cell. The theoretical density is 7.3 Mg/m³. Its uncorrected formation energy is -15.49 eV per formula unit.

Unit cell a=15.530 b=5.583 c=5.345 alpha=90.00 beta=90.00 gamma=90.00
Space group Ima2 (No. 46)
Unique sites:
Eu  0.112  0.018  0.000 [8 per cell]
Cu  0.000  0.000  0.491 [4 per cell]
Cu  0.250  0.553  0.033 [4 per cell]
O  0.013  0.745  0.245 [8 per cell]
O  0.137  0.064  0.464 [8 per cell]
O  0.250  0.606  0.404 [4 per cell]

=====

# 3
Below is a relaxed EuCu2O4 crystal, with properties calculated at the PBE level.

Output
The volume is 330 Å³/cell. The theoretical density is 6.9 Mg/m³. Its uncorrected formation energy is -9.82 eV per formula unit.

Unit cell a=5.840 b=5.840 c=9.686 alpha=90.00 beta=90.00 gamma=90.00
Space group I4_1/a (No. 88, origin choice 2)
Unique sites:
Eu  0.000  0.250  0.125 [4 per cell]
Cu  0.000  0.000  0.500 [8 per cell]
O  0.146  0.027  0.326 [16 per cell]

=====

# 4
Below is a relaxed Eu3CuO crystal, with properties calculated at the PBE level.

Output
The volume is 123 Å³/cell. The theoretical density is 7.2 Mg/m³. Its uncorrected formation energy is -5.24 eV per formula unit.

Unit cell a=4.972 b=4.972 c=4.972 alpha=90.00 beta=90.00 gamma=90.00
Space group Pm-3m (No. 221)
Unique sites:
Eu  0.000  0.000  0.500 [3 per cell]
Cu  0.500  0.500  0.500 [1 per cell]
O  0.000  0.000  0.000 [1 per cell]

=====

# 5
Below is a relaxed Eu2CuTe2S2O14 crystal, with properties calculated at the PBE level.

Output
The volume is 300 Å³/cell. The theoretical density is 5.0 Mg/m³. Its uncorrected formation energy is -34.36 eV per formula unit.

Unit cell a=5.180 b=8.065 c=8.395 alpha=117.86 beta=100.33 gamma=94.53
Space group P-1 (No. 2)
Unique sites:
Eu  0.064  0.234  0.486 [2 per cell]
Cu  0.000  0.000  0.000 [1 per cell]
Te  0.494  0.130  0.859 [2 per cell]
S  0.271  0.501  0.242 [2 per cell]
O  0.148  0.328  0.062 [2 per cell]
O  0.176  0.676  0.254 [2 per cell]
O  0.186  0.482  0.397 [2 per cell]
O  0.254  0.043  0.218 [2 per cell]
O  0.257  0.925  0.861 [2 per cell]
O  0.273  0.053  0.622 [2 per cell]
O  0.435  0.470  0.729 [2 per cell]

=====

# 6
Below is a relaxed Eu2TiCuO6 crystal, with properties calculated at the PBE level.

Output
The volume is 238 Å³/cell. The theoretical density is 7.1 Mg/m³. Its uncorrected formation energy is -24.02 eV per formula unit.

Unit cell a=5.467 b=5.620 c=9.472 alpha=90.00 beta=125.07 gamma=90.00
Space group P2_1/c (No. 14)
Unique sites:
Eu  0.239  0.051  0.249 [4 per cell]
Ti  0.500  0.000  0.000 [2 per cell]
Cu  0.000  0.000  0.500 [2 per cell]
O  0.166  0.196  0.958 [4 per cell]
O  0.259  0.709  0.955 [4 per cell]
O  0.338  0.024  0.754 [4 per cell]

=====

# 7
Below is a relaxed PmEuCuOs crystal, with properties calculated at the PBE level.

Output
The volume is 349 Å³/cell. The theoretical density is 10.5 Mg/m³. Its formation energy is 0.06 eV/atom.

Unit cell a=7.042 b=7.042 c=7.042 alpha=90.00 beta=90.00 gamma=90.00
Space group F-43m (No. 216)
Unique sites:
Pm  0.000  0.000  0.000 [4 per cell]
Eu  0.000  0.000  0.500 [4 per cell]
Cu  0.250  0.250  0.250 [4 per cell]
Os  0.250  0.250  0.750 [4 per cell]

=====

# 8
Below is a relaxed EuThCuOs crystal, with properties calculated at the PBE level.

Output
The volume is 354 Å³/cell. The theoretical density is 12.0 Mg/m³. Its formation energy is -0.04 eV/atom.

Unit cell a=7.072 b=7.072 c=7.072 alpha=90.00 beta=90.00 gamma=90.00
Space group F-43m (No. 216)
Unique sites:
Eu  0.000  0.000  0.000 [4 per cell]
Th  0.000  0.000  0.500 [4 per cell]
Cu  0.250  0.250  0.250 [4 per cell]
Os  0.250  0.250  0.750 [4 per cell]

=====

# 9
Below is a relaxed EuCu4P3 crystal, with properties calculated at the PBE level.

Output
The volume is 121 Å³/cell. The theoretical density is 6.8 Mg/m³. Its formation energy is -0.44 eV/atom.

Unit cell a=4.027 b=4.027 c=7.489 alpha=90.00 beta=90.00 gamma=90.00
Space group P4/mmm (No. 123)
Unique sites:
Eu  0.000  0.000  0.000 [1 per cell]
Cu  0.000  0.500  0.325 [4 per cell]
P  0.000  0.000  0.500 [1 per cell]
P  0.500  0.500  0.151 [2 per cell]

=====

# 10
Below is a relaxed EuCuP crystal, with properties calculated at the PBE level.

Output
The volume is 59 Å³/cell. The theoretical density is 6.9 Mg/m³. Its formation energy is -0.88 eV/atom.

Unit cell a=4.0344 b=4.0344 c=4.2027 alpha=90.00 beta=90.00 gamma=120.00
Space group P-6m2 (No. 187)
Unique sites:
Eu  0.0000  0.0000  0.0000 [1 per cell]
Cu  0.3333  0.6667  0.5000 [1 per cell]
P  0.6667  0.3333  0.5000 [1 per cell]

=====

# 11
Below is a relaxed EuCuP crystal, with properties calculated at the PBE level.

Output
The volume is 118 Å³/cell. The theoretical density is 6.9 Mg/m³. Its formation energy is -0.89 eV/atom.

Unit cell a=4.0550 b=4.0550 c=8.2865 alpha=90.00 beta=90.00 gamma=120.00
Space group P6_3/mmc (No. 194)
Unique sites:
Eu  0.0000  0.0000  0.0000 [2 per cell]
Cu  0.3333  0.6667  0.2500 [2 per cell]
P  0.3333  0.6667  0.7500 [2 per cell]

=====

# 12
Below is a relaxed PmEuCuP crystal, with properties calculated at the PBE level.

Output
The volume is 362 Å³/cell. The theoretical density is 7.2 Mg/m³. Its formation energy is -0.57 eV/atom.

Unit cell a=7.124 b=7.124 c=7.124 alpha=90.00 beta=90.00 gamma=90.00
Space group F-43m (No. 216)
Unique sites:
Pm  0.000  0.000  0.000 [4 per cell]
Eu  0.000  0.000  0.500 [4 per cell]
Cu  0.250  0.250  0.750 [4 per cell]
P  0.250  0.250  0.250 [4 per cell]